# Al2InAu

A geometry-optimized Al2InAu structure (PBE, Alexandria).

size of the total moment = 0.000 μB/atom
formation energy from the elements = -95.9 meV per atom
symmetry = C2/m, No. 12

Cell: 4.507 4.507 5.834 Å, 77.59 77.59 43.96°
Atoms (fractional coordinates):
Al (0.010, 0.010, 0.951)
Al (0.490, 0.490, 0.549)
Au (0.750, 0.750, 0.750)
In (0.250, 0.250, 0.250)

# AlIn2Au

A geometry-optimized AlIn2Au structure (PBE, Alexandria).

size of the total moment = 0.000 μB/atom
formation energy from the elements = 127.2 meV per atom
symmetry = F-43m, No. 216

Cell: 5.001 5.001 5.001 Å, 60.00 60.00 60.00°
Atoms (fractional coordinates):
In (0.000, 0.000, 0.000)
Au (0.250, 0.250, 0.250)
In (0.750, 0.750, 0.750)
Al (0.500, 0.500, 0.500)

# Al2InAu

A geometry-optimized Al2InAu structure (PBE, Alexandria).

size of the total moment = 0.000 μB/atom
formation energy from the elements = -60.9 meV per atom
symmetry = Cm, No. 8

Cell: 4.663 4.663 5.608 Å, 78.08 78.08 41.73°
Atoms (fractional coordinates):
In (0.246, 0.246, 0.246)
Al (0.756, 0.756, 0.730)
Au (0.492, 0.492, 0.563)
Al (0.005, 0.005, 0.962)

# AlIn2Au

A geometry-optimized AlIn2Au structure (PBE, Alexandria).

size of the total moment = 0.000 μB/atom
formation energy from the elements = -21.0 meV per atom
symmetry = Imm2, No. 44

Cell: 6.617 6.617 6.617 Å, 152.68 136.81 51.86°
Atoms (fractional coordinates):
Au (0.285, 0.785, 0.500)
In (0.036, 0.036, 0.000)
In (0.718, 0.218, 0.500)
Al (0.461, 0.461, 0.000)

# AlIn2Au

A geometry-optimized AlIn2Au structure (PBE, Alexandria).

size of the total moment = 0.000 μB/atom
formation energy from the elements = -79.0 meV per atom
symmetry = P4mm, No. 99

Cell: 3.233 3.233 8.420 Å, 90.00 90.00 90.00°
Atoms (fractional coordinates):
Au (0.500, 0.500, 0.712)
Al (0.000, 0.000, 0.545)
In (0.500, 0.500, 0.277)
In (0.000, 0.000, 0.967)

# AlIn2Au

A geometry-optimized AlIn2Au structure (PBE, Alexandria).

size of the total moment = 0.000 μB/atom
formation energy from the elements = 47.7 meV per atom
symmetry = I-42d, No. 122

Cell: 4.288 4.288 10.301 Å, 77.99 77.99 90.00°
Atoms (fractional coordinates):
Au (0.750, 0.250, 0.500)
In (0.625, 0.125, 0.250)
Au (0.000, 0.000, 0.000)
In (0.375, 0.375, 0.750)
Al (0.250, 0.750, 0.500)
In (0.875, 0.875, 0.750)
In (0.125, 0.625, 0.250)
Al (0.500, 0.500, 0.000)

# AlInAu2

A geometry-optimized AlInAu2 structure (PBE, Alexandria).

size of the total moment = 0.000 μB/atom
formation energy from the elements = -239.0 meV per atom
symmetry = Imm2, No. 44

Cell: 7.635 7.635 7.635 Å, 157.46 150.96 37.07°
Atoms (fractional coordinates):
Au (0.784, 0.284, 0.500)
Al (0.211, 0.711, 0.500)
In (0.443, 0.443, 0.000)
Au (0.062, 0.062, 0.000)

# AlInAu2

A geometry-optimized AlInAu2 structure (PBE, Alexandria).

size of the total moment = 0.000 μB/atom
formation energy from the elements = 43.9 meV per atom
symmetry = F-43m, No. 216

Cell: 4.805 4.805 4.805 Å, 60.00 60.00 60.00°
Atoms (fractional coordinates):
Al (0.500, 0.500, 0.500)
Au (0.000, 0.000, 0.000)
In (0.750, 0.750, 0.750)
Au (0.250, 0.250, 0.250)

Result set for VASP energy: -0.1276, -0.1101, -0.1263, -0.1156, -0.1177, -0.1131, -0.1285, -0.1181 hartree per atom, one per record in the order listed.